[1]
RbCrSnPb2, relaxed, DFT PBE-GGA; D(E_F) = 3.33 states/eV per cell; calculated formation energy = 1.472 eV per atom; calculated total energy = -14.6 eV/cell
1.0
-1.1095 6.0052 0.0447
-2.7734 -0.5471 4.6596
5.1388 0.9259 3.1673
Pb Cr Sn Rb
2 1 1 1
Direct
0.0000 0.0000 0.5000
0.5000 0.0000 0.0000
0.0000 0.5000 0.0000
0.5000 0.5000 0.5000
0.0000 0.0000 0.0000


[2]
Pm2Zn4AgPt3, relaxed, DFT PBE-GGA; D(E_F) = 5.07 states/eV per cell; calculated formation energy = -0.655 eV per atom; calculated total energy = -42.1 eV/cell
1.0
4.0667 0.0000 0.0000
0.0000 4.0667 0.0000
0.0000 0.0000 11.6883
Pm Zn Ag Pt
2 4 1 3
Direct
0.5000 0.0000 0.2371
0.0000 0.5000 0.7629
0.5000 0.5000 0.0000
0.0000 0.0000 0.0000
0.5000 0.0000 0.6386
0.0000 0.5000 0.3614
0.5000 0.5000 0.5000
0.0000 0.0000 0.5000
0.5000 0.0000 0.8566
0.0000 0.5000 0.1434


[3]
Cu2AgSnS4, relaxed, DFT PBE-GGA; D(E_F) = 5.94 states/eV per cell; E_form (uncorrected) = -6.368 kcal/mol of atoms; calculated total energy = -33.8 eV/cell
1.0
5.5652 0.2306 0.0000
-0.2319 5.5651 0.0000
-2.6667 -2.8979 5.4726
Cu Ag Sn S
2 1 1 4
Direct
0.7500 0.2500 0.5001
0.2500 0.7500 0.5001
0.0002 0.0002 0.0003
0.5000 0.5000 0.0000
0.6057 0.6057 0.7207
0.3944 0.8850 0.2794
0.8850 0.3944 0.2794
0.1150 0.1150 0.7207


[4]
BaAsH2Pd2, relaxed, DFT PBE-GGA; D(E_F) = 4.33 states/eV per cell; calculated total energy = -52.8 eV/cell
1.0
5.7850 0.0000 0.0000
0.0000 6.3727 0.5268
0.0000 -1.7282 6.1798
Ba As H Pd
2 2 4 4
Direct
0.7500 0.3059 0.6950
0.2500 0.6941 0.3050
0.2500 0.1333 0.8701
0.7500 0.8667 0.1299
0.2500 0.2584 0.3565
0.2500 0.6450 0.7378
0.7500 0.7416 0.6435
0.7500 0.3550 0.2622
0.5001 0.1861 0.1877
0.9999 0.1861 0.1877
0.0001 0.8139 0.8123
0.4999 0.8139 0.8123